Run a
Here is PrTh2N3 after structural relaxation from Alexandria. Energies are from PBE-GGA.

extended XYZ file:
```
24
Lattice="-4.556 2.122 -3.895 -2.517 -1.257 5.702 5.616 9.900 2.293" Properties=species:S:1:pos:R:3 pbc="T T T"
Pr -1.802 9.051 3.570
Pr 0.126 6.250 4.979
Pr -0.563 2.825 3.919
Pr 0.345 1.713 0.530
Th -1.253 -0.599 2.860
Th 1.729 8.591 2.658
Th -0.888 7.967 0.189
Th 1.034 5.136 1.589
Th -2.491 5.628 2.511
Th -1.589 4.486 -0.888
Th -3.186 2.173 1.442
Th 0.815 9.674 6.038
N 2.299 7.858 4.994
N 1.196 9.508 0.378
N 3.098 6.579 1.748
N -0.355 7.051 2.469
N -2.887 6.428 0.072
N 0.410 6.025 -0.771
N -1.134 3.767 1.478
N -4.523 4.131 2.505
N -3.640 2.892 -0.924
N -2.769 1.271 3.752
N -1.888 0.231 0.482
N -5.185 0.634 1.325
```

## Properties
Its density is 10.23 Mg/m³. Its space group is Fddd (70). As for the magnetization: 0.0 μB/f.u.


Run b
Here is PrTh2N3 after structural relaxation from Alexandria. Energies are from PBE-GGA.

extended XYZ file:
```
12
Lattice="-2.416 4.740 -4.313 -4.218 1.660 4.188 1.306 4.410 4.115" Properties=species:S:1:pos:R:3 pbc="T T T"
Pr -2.060 4.220 3.073
Pr -3.268 6.590 0.917
Th -0.485 1.012 1.384
Th -1.694 3.382 -0.773
Th -2.427 5.059 6.920
Th -3.635 7.429 4.763
N -5.698 5.381 0.949
N -1.412 5.860 -0.926
N -2.635 2.280 1.263
N -2.694 8.531 2.728
N -3.916 4.951 4.916
N 0.370 5.430 3.041
```

## Properties
Its density is 9.51 Mg/m³. Its space group is P6_3/mcm (193). As for the magnetization: 0.0 μB/f.u.


Energy above the most stable structure, in eV/atom: run a 0.000; run b 0.241


Run a
Here is PrTm2N after structural relaxation from Alexandria. Energies are from PBE-GGA.

extended XYZ file:
```
4
Lattice="-0.189 -3.360 -0.548 2.770 -1.724 -0.990 3.121 -3.312 8.626" Properties=species:S:1:pos:R:3 pbc="T T T"
Pr 0.000 0.000 0.000
Tm 2.301 -2.726 5.313
Tm 3.401 -5.670 1.774
N 2.851 -4.198 3.544
```

## Properties
Its density is 8.51 Mg/m³. Its space group is R-3m (166). As for the magnetization: 0.0 μB/f.u.


Run b
Here is PrTm2N after structural relaxation from Alexandria. Energies are from PBE-GGA.

extended XYZ file:
```
4
Lattice="-0.094 2.915 1.183 -0.628 -1.177 2.851 8.712 -0.426 1.744" Properties=species:S:1:pos:R:3 pbc="T T T"
Pr 3.995 0.656 2.889
Tm 7.341 -0.359 1.470
Tm 1.372 -0.067 0.275
N -0.361 0.869 2.017
```

## Properties
Its density is 9.29 Mg/m³. Its space group is P4/mmm (123). As for the magnetization: 0.0 μB/f.u.


Energy above the most stable structure, in eV/atom: run a 0.000; run b 0.547


Run a
Here is PrTmN after structural relaxation from Alexandria. Energies are from PBE-GGA.

extended XYZ file:
```
3
Lattice="-0.253 -0.736 -3.184 0.007 -3.194 0.738 -6.776 2.071 1.746" Properties=species:S:1:pos:R:3 pbc="T T T"
Pr -4.478 0.069 0.339
Tm -0.393 0.006 0.030
N -6.856 0.105 0.520
```

## Properties
Its density is 7.23 Mg/m³. Its space group is I4mm (107). As for the magnetization: 0.0 μB/f.u.


Run b
Here is PrTmN after structural relaxation from Alexandria. Energies are from PBE-GGA.

extended XYZ file:
```
3
Lattice="3.520 0.000 0.000 -1.760 3.048 0.000 0.000 0.000 6.317" Properties=species:S:1:pos:R:3 pbc="T T T"
Pr 0.000 0.000 0.630
Tm 0.000 2.032 3.391
N 1.760 1.016 2.296
```

## Properties
Its density is 7.93 Mg/m³. Its space group is P3m1 (156). As for the magnetization: 0.5 μB/f.u.


Run c
Here is PrTmN after structural relaxation from Alexandria. Energies are from PBE-GGA.

extended XYZ file:
```
12
Lattice="3.741 0.000 0.000 0.000 8.170 0.000 0.000 0.000 9.267" Properties=species:S:1:pos:R:3 pbc="T T T"
Pr 3.741 5.903 6.750
Pr 3.741 2.267 6.750
Pr 0.001 2.267 2.117
Pr 0.001 5.903 2.117
Tm 1.870 4.085 4.443
Tm 1.871 4.085 9.077
Tm 1.868 0.000 4.709
Tm 1.873 0.000 0.076
N 1.870 4.085 6.764
N 1.871 4.085 2.130
N 3.738 0.000 5.867
N 0.003 0.000 1.233
```

## Properties
Its density is 7.59 Mg/m³. Its space group is Pmm2 (25). As for the magnetization: 0.0 μB/f.u.


Energy above the most stable structure, in eV/atom: run a 0.219; run b 0.000; run c 0.105


Run a
Here is PrWN2 after structural relaxation from Alexandria. Energies are from PBE-GGA.

extended XYZ file:
```
4
Lattice="-0.684 -1.620 2.760 1.017 -3.087 0.380 4.887 0.285 3.318" Properties=species:S:1:pos:R:3 pbc="T T T"
Pr 2.610 -2.211 3.229
W 0.000 0.000 0.000
N 4.174 -3.216 4.966
N 1.047 -1.206 1.492
```

## Properties
Its density is 11.27 Mg/m³. Its space group is R-3m (166). As for the magnetization: 0.0 μB/f.u.


Run b
Here is PrWN2 after structural relaxation from Alexandria. Energies are from PBE-GGA.

extended XYZ file:
```
4
Lattice="-1.564 1.104 2.110 -1.385 -2.475 0.268 4.091 -1.857 4.004" Properties=species:S:1:pos:R:3 pbc="T T T"
Pr 0.571 -1.614 3.191
W -1.475 -0.685 1.189
N 3.263 -1.481 3.194
N 0.828 -0.376 0.811
```

## Properties
Its density is 12.00 Mg/m³. Its space group is P4/mmm (123). As for the magnetization: 0.0 μB/f.u.


Energy above the most stable structure, in eV/atom: run a 0.000; run b 0.621


Run a
Here is Pr2W2N5 after structural relaxation from Alexandria. Energies are from PBE-GGA.

extended XYZ file:
```
18
Lattice="5.402 0.000 -1.770 -0.578 5.341 -1.764 -0.089 -0.078 8.854" Properties=species:S:1:pos:R:3 pbc="T T T"
Pr 4.458 2.037 4.529
Pr 0.265 3.330 0.757
Pr 1.499 4.707 4.522
Pr 3.224 0.660 0.764
W -0.006 0.052 -0.017
W 2.406 2.722 -1.784
W 3.669 4.017 1.727
W 1.055 1.346 3.560
N 3.675 4.127 -2.476
N 0.759 3.909 6.879
N 3.964 1.457 -1.594
N 1.048 1.239 7.762
N 3.807 4.639 3.562
N 0.916 0.726 1.724
N 2.030 1.968 5.121
N 2.694 3.396 0.165
N -0.048 0.009 4.411
N 5.061 2.680 1.759
```

## Properties
Its density is 9.42 Mg/m³. Its space group is Imma (74). As for the magnetization: 0.0 μB/f.u.


Run b
Here is Pr2W2N5 after structural relaxation from Alexandria. Energies are from PBE-GGA.

extended XYZ file:
```
9
Lattice="-0.281 -0.782 3.862 5.604 -1.496 -1.915 0.203 5.984 1.226" Properties=species:S:1:pos:R:3 pbc="T T T"
Pr 4.391 2.666 0.860
Pr 1.136 1.040 2.314
W 1.726 4.620 1.061
W 3.801 -0.913 2.113
N 3.532 -0.962 0.062
N 1.995 4.669 3.111
N 1.779 2.795 0.695
N 3.747 0.912 2.478
N 0.000 0.000 0.000
```

## Properties
Its density is 8.94 Mg/m³. Its space group is C2/m (12). As for the magnetization: 0.0 μB/f.u.


Energy above the most stable structure, in eV/atom: run a 0.000; run b 0.116


Run a
Here is PrY2N after structural relaxation from Alexandria. Energies are from PBE-GGA.

extended XYZ file:
```
4
Lattice="-0.936 2.222 2.511 0.073 -1.007 3.332 8.871 3.448 2.668" Properties=species:S:1:pos:R:3 pbc="T T T"
Pr 0.000 0.000 0.000
Y 5.550 2.345 2.407
Y 2.458 2.319 6.104
N 4.004 2.332 4.255
```

## Properties
Its density is 5.44 Mg/m³. Its space group is R-3m (166). As for the magnetization: 0.0 μB/f.u.


Run b
Here is PrY2N after structural relaxation from Alexandria. Energies are from PBE-GGA.

extended XYZ file:
```
4
Lattice="-2.902 0.641 -1.167 1.146 -0.218 -2.972 -1.918 -8.847 -0.090" Properties=species:S:1:pos:R:3 pbc="T T T"
Pr -1.837 -4.212 -2.114
Y -1.617 -7.459 -0.076
Y -0.301 -1.388 -0.014
N -0.878 0.211 -2.069
```

## Properties
Its density is 5.99 Mg/m³. Its space group is P4/mmm (123). As for the magnetization: 0.0 μB/f.u.


Energy above the most stable structure, in eV/atom: run a 0.000; run b 0.528


Run a
Here is Pr3ZnN after structural relaxation from Alexandria. Energies are from PBE-GGA.

extended XYZ file:
```
20
Lattice="7.201 0.000 0.000 0.000 6.915 0.000 0.000 0.000 10.029" Properties=species:S:1:pos:R:3 pbc="T T T"
Pr 5.646 1.466 0.425
Pr 5.155 4.924 5.440
Pr 5.155 4.924 9.604
Pr 1.555 5.449 5.440
Pr 1.555 5.449 9.604
Pr 2.046 1.991 4.590
Pr 2.046 1.991 0.425
Pr 5.646 1.466 4.590
Pr 3.740 0.617 7.522
Pr 7.060 4.074 2.507
Pr 3.460 6.298 2.507
Pr 0.140 2.841 7.522
Zn 3.288 3.621 7.522
Zn 0.313 0.164 2.507
Zn 3.913 3.294 2.507
Zn 6.888 6.751 7.522
N 0.000 3.458 0.000
N 3.600 0.000 5.015
N 3.600 0.000 0.000
N 0.000 3.458 5.015
```

## Properties
Its density is 6.68 Mg/m³. Its space group is Pnma (62). As for the magnetization: 0.0 μB/f.u.


Run b
Here is Pr3ZnN after structural relaxation from Alexandria. Energies are from PBE-GGA.

extended XYZ file:
```
20
Lattice="6.437 0.000 0.000 0.000 9.647 0.023 0.000 -3.829 7.936" Properties=species:S:1:pos:R:3 pbc="T T T"
Pr 0.503 2.627 7.369
Pr 5.934 3.190 0.589
Pr 3.722 8.014 0.600
Pr 2.716 -2.196 7.358
Pr 3.772 1.274 6.356
Pr 2.665 4.543 1.602
Pr 0.554 -0.280 1.591
Pr 5.884 6.098 6.368
Pr 0.733 -0.230 5.123
Pr 5.705 6.047 2.835
Pr 3.951 1.224 2.824
Pr 2.486 4.594 5.135
Zn 5.469 3.462 4.573
Zn 0.968 2.355 3.385
Zn 2.251 7.179 3.397
Zn 4.187 -1.361 4.562
N 1.602 0.289 7.366
N 4.835 5.528 0.593
N 4.821 0.705 0.581
N 1.617 5.113 7.377
```

## Properties
Its density is 6.76 Mg/m³. Its space group is P2_1/c (14). As for the magnetization: 0.0 μB/f.u.


Run c
Here is Pr3ZnN after structural relaxation from Alexandria. Energies are from PBE-GGA.

extended XYZ file:
```
5
Lattice="5.040 0.000 0.000 0.000 5.040 0.000 0.000 0.000 5.040" Properties=species:S:1:pos:R:3 pbc="T T T"
Pr 0.000 2.520 0.000
Pr 0.000 0.000 2.520
Pr 2.520 0.000 0.000
Zn 2.520 2.520 2.520
N 0.000 0.000 0.000
```

## Properties
Its density is 6.51 Mg/m³. Its space group is Pm-3m (221). As for the magnetization: 0.0 μB/f.u.


Energy above the most stable structure, in eV/atom: run a 0.000; run b 0.089; run c 0.062


Run a
Here is RbPtS2N after structural relaxation from Alexandria. Energies are from PBE-GGA.

extended XYZ file:
```
5
Lattice="6.557 0.000 0.000 0.000 5.991 0.000 0.000 0.000 6.557" Properties=species:S:1:pos:R:3 pbc="T T T"
S 0.000 0.000 3.279
S 3.279 0.000 0.000
Rb 0.000 0.000 0.000
Pt 0.000 2.995 0.000
N 3.279 2.995 3.279
```

## Properties
Its density is 2.31 Mg/m³. Its space group is P4/mmm (123). As for the magnetization: 7.0 μB/f.u.


Run b
Here is RbPtS2N after structural relaxation from Alexandria. Energies are from PBE-GGA.

extended XYZ file:
```
5
Lattice="5.320 0.000 0.000 0.000 5.320 0.000 0.000 0.000 3.705" Properties=species:S:1:pos:R:3 pbc="T T T"
S 0.000 2.660 0.000
S 2.660 0.000 0.000
Rb 2.660 2.660 1.852
Pt 0.000 0.000 0.000
N 0.000 0.000 1.852
```

## Properties
Its density is 5.68 Mg/m³. Its space group is P4/mmm (123). As for the magnetization: 0.0 μB/f.u.


Energy above the most stable structure, in eV/atom: run a 2.244; run b 0.000


Run a
Here is RbPtSeN2 after structural relaxation from Alexandria. Energies are from PBE-GGA.

extended XYZ file:
```
5
Lattice="-0.631 2.881 3.214 -1.359 -3.216 2.616 6.225 -0.946 2.071" Properties=species:S:1:pos:R:3 pbc="T T T"
Se 3.112 -0.473 1.035
Rb 0.000 0.000 0.000
Pt 2.117 -0.640 3.950
N -0.679 -1.608 1.308
N -0.316 1.441 1.607
```

## Properties
Its density is 5.10 Mg/m³. Its space group is P4/mmm (123). As for the magnetization: 4.5 μB/f.u.


Run b
Here is RbPtSeN2 after structural relaxation from Alexandria. Energies are from PBE-GGA.

extended XYZ file:
```
5
Lattice="-1.708 1.776 3.292 -0.795 -3.708 1.588 4.870 0.030 2.510" Properties=species:S:1:pos:R:3 pbc="T T T"
Se 2.435 0.015 1.255
Rb 1.184 -0.951 3.695
Pt 0.000 0.000 0.000
N -0.398 -1.854 0.794
N -0.854 0.888 1.646
```

## Properties
Its density is 6.95 Mg/m³. Its space group is P4/mmm (123). As for the magnetization: 0.0 μB/f.u.


Energy above the most stable structure, in eV/atom: run a 1.642; run b 0.000


Run a
Here is RbTePtN2 after structural relaxation from Alexandria. Energies are from PBE-GGA.

extended XYZ file:
```
5
Lattice="-0.864 -0.081 4.191 -2.637 -3.316 -0.608 4.283 -3.555 0.815" Properties=species:S:1:pos:R:3 pbc="T T T"
Te 2.142 -1.778 0.407
Rb 0.391 -3.476 2.199
Pt 0.000 0.000 0.000
N -1.318 -1.658 -0.304
N -0.432 -0.040 2.096
```

## Properties
Its density is 7.03 Mg/m³. Its space group is P4/mmm (123). As for the magnetization: 0.3 μB/f.u.


Run b
Here is RbTePtN2 after structural relaxation from Alexandria. Energies are from PBE-GGA.

extended XYZ file:
```
5
Lattice="-4.361 -0.012 -2.037 -1.422 -3.427 3.066 -2.215 5.133 4.711" Properties=species:S:1:pos:R:3 pbc="T T T"
Te -1.108 2.567 2.355
Rb 0.000 0.000 0.000
Pt -3.999 0.847 2.870
N -0.711 -1.714 1.533
N -2.180 -0.006 -1.019
```

## Properties
Its density is 4.28 Mg/m³. Its space group is P4/mmm (123). As for the magnetization: 6.2 μB/f.u.


Energy above the most stable structure, in eV/atom: run a 0.000; run b 1.233


Run a
Here is RePt3N after structural relaxation from Alexandria. Energies are from PBE-GGA.

extended XYZ file:
```
5
Lattice="-1.015 3.836 1.325 -3.997 -0.708 -1.012 -0.703 -1.511 3.836" Properties=species:S:1:pos:R:3 pbc="T T T"
Re -2.857 0.808 2.075
Pt -1.998 -0.354 -0.506
Pt -0.352 -0.756 1.918
Pt -0.507 1.918 0.663
N 0.000 0.000 0.000
```

## Properties
Its density is 17.82 Mg/m³. Its space group is Pm-3m (221). As for the magnetization: 2.3 μB/f.u.


Run b
Here is RePt3N after structural relaxation from Alexandria. Energies are from PBE-GGA.

extended XYZ file:
```
5
Lattice="-0.217 -4.696 -1.204 0.208 -1.213 4.694 -4.844 0.159 0.255" Properties=species:S:1:pos:R:3 pbc="T T T"
Re 0.000 0.000 0.000
Pt 0.104 -0.607 2.347
Pt -2.422 0.079 0.128
Pt -0.109 -2.348 -0.602
N -2.427 -2.875 1.873
```

## Properties
Its density is 11.41 Mg/m³. Its space group is Pm-3m (221). As for the magnetization: 2.5 μB/f.u.


Energy above the most stable structure, in eV/atom: run a 0.000; run b 1.274